Record 1
Ca4Ga2Ge5 | Alexandria via LeMat-Bulk | PBE | optimized geometry; uncorrected energy = -42.69 eV/cell
1.0
4.4512 0.0000 0.0000
0.0000 7.1100 -0.2160
0.0000 -0.0636 8.1631
Ca Ga Ge
4 2 5
Direct
0.5000 0.2690 0.6370 Ca
0.5000 0.7689 0.8697 Ca
0.5000 0.7310 0.3630 Ca
0.5000 0.2311 0.1303 Ca
0.0000 0.9190 0.6265 Ga
0.0000 0.0810 0.3735 Ga
0.0000 0.4277 0.3483 Ge
0.0000 0.8845 0.1142 Ge
0.0000 0.5000 0.0000 Ge
0.0000 0.1155 0.8858 Ge
0.0000 0.5723 0.6517 Ge


Record 2
Ca2Ga2Ge | Alexandria via LeMat-Bulk | PBE | optimized geometry; energy relative to the lowest polymorph listed for this composition = 37 meV per atom; uncorrected energy = -16.91 eV/cell
1.0
4.2152 0.0000 0.0000
0.0000 3.8500 -1.2494
0.0000 0.2670 7.3793
Ca Ga Ge
2 2 1
Direct
0.0000 0.6819 0.3637 Ca
0.0000 0.9329 0.8658 Ca
0.5000 0.3093 0.6186 Ga
0.5000 0.5072 0.0145 Ga
0.5000 0.1108 0.2217 Ge


Record 3
Ca8GaGe2 | Alexandria via LeMat-Bulk | PBE | optimized geometry; energy relative to the lowest polymorph listed for this composition = 0 meV per atom; uncorrected energy = -32.35 eV/cell
1.0
-1.3196 -4.9624 0.0336
3.6874 -0.9386 6.1952
-8.0364 4.8113 2.5758
Ca Ga Ge
8 1 2
Direct
0.4057 0.5560 0.8114 Ca
0.6643 0.9583 0.3286 Ca
0.7938 0.6885 0.5876 Ca
0.9660 0.2103 0.9320 Ca
0.2062 0.3115 0.4124 Ca
0.3357 0.0417 0.6714 Ca
0.5943 0.4440 0.1886 Ca
0.0340 0.7897 0.0680 Ca
0.5000 0.0000 0.0000 Ga
0.8077 0.2866 0.6154 Ge
0.1923 0.7134 0.3846 Ge


Record 4
CaGa2Ge | Alexandria via LeMat-Bulk | PBE | optimized geometry; uncorrected energy = -56.27 eV/cell
1.0
-2.9070 2.8134 1.5880
0.5808 -3.1070 6.5677
8.1588 6.9752 2.5783
Ca Ga Ge
4 8 4
Direct
0.7500 0.3637 0.3613 Ca
0.2500 0.6363 0.6387 Ca
0.7500 0.8637 0.1387 Ca
0.2500 0.1363 0.8613 Ca
0.2500 0.0348 0.3522 Ga
0.7500 0.9652 0.6478 Ga
0.2500 0.5348 0.1478 Ga
0.7500 0.4652 0.8522 Ga
0.2500 0.1636 0.1401 Ga
0.7500 0.8364 0.8599 Ga
0.2500 0.6636 0.3599 Ga
0.7500 0.3364 0.6401 Ga
0.7500 0.3367 0.0718 Ge
0.2500 0.6633 0.9282 Ge
0.7500 0.8367 0.4282 Ge
0.2500 0.1633 0.5718 Ge


What are the energy of formation values for these records? In order: -11.63; -10.33; -8.54; -8.04 kcal/mol of atoms.